Here is a geometry-optimized Hg3Bi12Sb5 structure from Alexandria via LeMat-Bulk. Energies are from GGA-PBE.

a = 15.745 Å, b = 15.745 Å, c = 15.745 Å
α = 109.47°, β = 109.47°, γ = 109.47°
Sites, in units of the cell vectors:
1 Hg 0.125 0.250 0.375
2 Hg 0.125 0.375 0.750
3 Hg 0.250 0.375 0.125
4 Hg 0.250 0.875 0.625
5 Hg 0.375 0.125 0.250
6 Hg 0.375 0.750 0.125
7 Hg 0.625 0.250 0.875
8 Hg 0.625 0.875 0.750
9 Hg 0.750 0.125 0.375
10 Hg 0.750 0.625 0.875
11 Hg 0.875 0.625 0.250
12 Hg 0.875 0.750 0.625
13 Bi 0.067 0.236 0.136
14 Bi 0.067 0.331 0.931
15 Bi 0.069 0.636 0.400
16 Bi 0.069 0.933 0.669
17 Bi 0.100 0.736 0.669
18 Bi 0.100 0.864 0.431
19 Bi 0.136 0.067 0.236
20 Bi 0.136 0.569 0.900
21 Bi 0.169 0.236 0.600
22 Bi 0.169 0.433 0.569
23 Bi 0.236 0.136 0.067
24 Bi 0.236 0.600 0.169
25 Bi 0.264 0.331 0.900
26 Bi 0.264 0.433 0.364
27 Bi 0.331 0.900 0.264
28 Bi 0.331 0.931 0.067
29 Bi 0.364 0.264 0.433
30 Bi 0.364 0.600 0.931
31 Bi 0.400 0.069 0.636
32 Bi 0.400 0.831 0.764
33 Bi 0.431 0.100 0.864
34 Bi 0.431 0.831 0.567
35 Bi 0.433 0.364 0.264
36 Bi 0.433 0.569 0.169
37 Bi 0.567 0.431 0.831
38 Bi 0.567 0.636 0.736
39 Bi 0.569 0.169 0.433
40 Bi 0.569 0.900 0.136
41 Bi 0.600 0.169 0.236
42 Bi 0.600 0.931 0.364
43 Bi 0.636 0.400 0.069
44 Bi 0.636 0.736 0.567
45 Bi 0.669 0.069 0.933
46 Bi 0.669 0.100 0.736
47 Bi 0.736 0.567 0.636
48 Bi 0.736 0.669 0.100
49 Bi 0.764 0.400 0.831
50 Bi 0.764 0.864 0.933
51 Bi 0.831 0.567 0.431
52 Bi 0.831 0.764 0.400
53 Bi 0.864 0.431 0.100
54 Bi 0.864 0.933 0.764
55 Bi 0.900 0.136 0.569
56 Bi 0.900 0.264 0.331
57 Bi 0.931 0.067 0.331
58 Bi 0.931 0.364 0.600
59 Bi 0.933 0.669 0.069
60 Bi 0.933 0.764 0.864
61 Sb 0.000 0.000 0.000
62 Sb 0.000 0.000 0.500
63 Sb 0.000 0.500 0.000
64 Sb 0.000 0.500 0.500
65 Sb 0.125 0.750 0.875
66 Sb 0.125 0.875 0.250
67 Sb 0.250 0.125 0.875
68 Sb 0.250 0.625 0.375
69 Sb 0.375 0.250 0.625
70 Sb 0.375 0.625 0.750
71 Sb 0.500 0.000 0.000
72 Sb 0.500 0.000 0.500
73 Sb 0.500 0.500 0.000
74 Sb 0.500 0.500 0.500
75 Sb 0.625 0.375 0.250
76 Sb 0.625 0.750 0.375
77 Sb 0.750 0.375 0.625
78 Sb 0.750 0.875 0.125
79 Sb 0.875 0.125 0.750
80 Sb 0.875 0.250 0.125

***

Here is a geometry-optimized HgBiSb structure from Alexandria via LeMat-Bulk. Energies are from GGA-PBE.

E above lowest polymorph in kJ/mol of formula units: 7

a = 3.223 Å, b = 3.223 Å, c = 18.412 Å
α = 90.00°, β = 90.00°, γ = 90.00°
Sites, in units of the cell vectors:
1 Hg 0.000 0.000 0.000
2 Hg 0.500 0.500 0.500
3 Bi 0.000 0.000 0.820
4 Bi 0.500 0.500 0.320
5 Sb 0.000 0.000 0.657
6 Sb 0.500 0.500 0.157

***

Here is a geometry-optimized Hg2BiSb structure from Alexandria via LeMat-Bulk. Energies are from GGA-PBE.

a = 3.325 Å, b = 3.325 Å, c = 9.983 Å
α = 90.00°, β = 90.00°, γ = 90.00°
Sites, in units of the cell vectors:
1 Hg 0.000 0.000 0.244
2 Hg 0.000 0.000 0.756
3 Bi 0.500 0.500 0.500
4 Sb 0.500 0.500 0.000

***

Here is a geometry-optimized Hg3Bi3Sb structure from Alexandria via LeMat-Bulk. Energies are from GGA-PBE.

a = 4.452 Å, b = 9.596 Å, c = 10.971 Å
α = 81.23°, β = 88.25°, γ = 80.69°
Sites, in units of the cell vectors:
1 Hg 0.024 0.407 0.128
2 Hg 0.131 0.342 0.553
3 Hg 0.441 0.552 0.271
4 Hg 0.559 0.448 0.729
5 Hg 0.869 0.658 0.447
6 Hg 0.976 0.593 0.872
7 Bi 0.151 0.164 0.861
8 Bi 0.302 0.820 0.604
9 Bi 0.360 0.836 0.937
10 Bi 0.640 0.164 0.063
11 Bi 0.698 0.180 0.396
12 Bi 0.849 0.836 0.139
13 Sb 0.271 0.978 0.338
14 Sb 0.729 0.022 0.662

***

Here is a geometry-optimized Hg2BiSb structure from Alexandria via LeMat-Bulk. Energies are from GGA-PBE.

a = 11.219 Å, b = 3.455 Å, c = 12.292 Å
α = 90.00°, β = 93.96°, γ = 90.00°
Sites, in units of the cell vectors:
1 Hg 0.121 0.000 0.434
2 Hg 0.129 0.500 0.673
3 Hg 0.371 0.000 0.327
4 Hg 0.379 0.500 0.566
5 Hg 0.621 0.500 0.434
6 Hg 0.629 0.000 0.673
7 Hg 0.871 0.500 0.327
8 Hg 0.879 0.000 0.566
9 Bi 0.109 0.500 0.168
10 Bi 0.391 0.000 0.832
11 Bi 0.609 0.000 0.168
12 Bi 0.891 0.500 0.832
13 Sb 0.115 0.000 0.936
14 Sb 0.385 0.500 0.064
15 Sb 0.615 0.500 0.936
16 Sb 0.885 0.000 0.064

***

Here is a geometry-optimized HgBi3Sb3 structure from Alexandria via LeMat-Bulk. Energies are from GGA-PBE.

a = 8.257 Å, b = 8.257 Å, c = 8.257 Å
α = 70.12°, β = 70.12°, γ = 70.12°
Sites, in units of the cell vectors:
1 Hg 0.247 0.247 0.247
2 Hg 0.753 0.753 0.753
3 Bi 0.172 0.803 0.803
4 Bi 0.197 0.197 0.828
5 Bi 0.197 0.828 0.197
6 Bi 0.803 0.172 0.803
7 Bi 0.803 0.803 0.172
8 Bi 0.828 0.197 0.197
9 Sb 0.094 0.572 0.572
10 Sb 0.428 0.428 0.906
11 Sb 0.428 0.906 0.428
12 Sb 0.572 0.094 0.572
13 Sb 0.572 0.572 0.094
14 Sb 0.906 0.428 0.428

***

Here is a geometry-optimized HgBi2Sb structure from Alexandria via LeMat-Bulk. Energies are from GGA-PBE.

E above lowest polymorph in kJ/mol of formula units: 18

a = 7.745 Å, b = 7.745 Å, c = 7.745 Å
α = 90.00°, β = 90.00°, γ = 90.00°
Sites, in units of the cell vectors:
1 Hg 0.000 0.000 0.000
2 Hg 0.000 0.500 0.500
3 Hg 0.500 0.000 0.500
4 Hg 0.500 0.500 0.000
5 Bi 0.250 0.250 0.250
6 Bi 0.250 0.250 0.750
7 Bi 0.250 0.750 0.250
8 Bi 0.250 0.750 0.750
9 Bi 0.750 0.250 0.250
10 Bi 0.750 0.250 0.750
11 Bi 0.750 0.750 0.250
12 Bi 0.750 0.750 0.750
13 Sb 0.000 0.000 0.500
14 Sb 0.000 0.500 0.000
15 Sb 0.500 0.000 0.000
16 Sb 0.500 0.500 0.500

***

Here is a geometry-optimized Hg2BiSb2 structure from Alexandria via LeMat-Bulk. Energies are from GGA-PBE.

E above lowest polymorph in kJ/mol of formula units: 56

a = 4.207 Å, b = 4.207 Å, c = 16.842 Å
α = 90.00°, β = 90.00°, γ = 90.00°
Sites, in units of the cell vectors:
1 Hg 0.000 0.000 0.093
2 Hg 0.000 0.000 0.907
3 Hg 0.500 0.500 0.407
4 Hg 0.500 0.500 0.593
5 Bi 0.000 0.000 0.500
6 Bi 0.500 0.500 0.000
7 Sb 0.000 0.500 0.250
8 Sb 0.000 0.500 0.750
9 Sb 0.500 0.000 0.250
10 Sb 0.500 0.000 0.750

***

Number 1: total energy -3.18 eV per atom, calculated volume 3005 Å³/cell, DOS at the Fermi energy 51.5 states/eV per cell. Number 2: total energy -2.70 eV per atom, calculated volume 191 Å³/cell, DOS at the Fermi energy 2.4 states/eV per cell. Number 3: total energy -1.97 eV per atom, calculated volume 110 Å³/cell, DOS at the Fermi energy 2.4 states/eV per cell. Number 4: total energy -2.33 eV per atom, calculated volume 457 Å³/cell, DOS at the Fermi energy 3.6 states/eV per cell. Number 5: total energy -2.03 eV per atom, calculated volume 475 Å³/cell, DOS at the Fermi energy 3.4 states/eV per cell. Number 6: total energy -3.33 eV per atom, calculated volume 482 Å³/cell, DOS at the Fermi energy 6.5 states/eV per cell. Number 7: total energy -2.91 eV per atom, calculated volume 465 Å³/cell, DOS at the Fermi energy 7.2 states/eV per cell. Number 8: total energy -2.28 eV per atom, calculated volume 298 Å³/cell, DOS at the Fermi energy 6.5 states/eV per cell.